No. 1
# MgFeSCl2, optimized geometry, DFT PBE
# Fermi-level density of states, states/eV/f.u.: 6.655
# Mass density, g/cm3: 2.7
# Symmetry: P4/mmm
# E above lowest polymorph, kJ/mol of formula units: 33
# Magnetic moment, μB per formula unit: 4.036
# Calculated total energy, eV/atom: -3.80
data_MgFeSCl2
_chemical_formula_sum 'Mg1 Fe1 S1 Cl2'
_symmetry_space_group_name_H-M 'P 1'
_symmetry_Int_Tables_number 1
_cell_length_a 4.644
_cell_length_b 4.644
_cell_length_c 5.220
_cell_angle_alpha 90.00
_cell_angle_beta 90.00
_cell_angle_gamma 90.00
loop_
_symmetry_equiv_pos_as_xyz
'x,y,z'
loop_
_atom_site_label
_atom_site_type_symbol
_atom_site_fract_x
_atom_site_fract_y
_atom_site_fract_z
Mg1 Mg 0.000 0.000 0.000
Fe1 Fe 0.500 0.500 0.500
S1 S 0.000 0.000 0.500
Cl1 Cl 0.000 0.500 0.000
Cl2 Cl 0.500 0.000 0.000

=====

No. 2
# LaCd2Ag2, optimized geometry, DFT PBE
# Fermi-level density of states, states/eV/f.u.: 2.937
# Mass density, g/cm3: 8.4
# Energy of formation from the pure elements, eV/atom: -0.125
# Symmetry: P4/mbm
# E above lowest polymorph, kJ/mol of formula units: 50
# Magnetic moment, μB per formula unit: 0.316
# Calculated total energy, eV/atom: -2.62
data_LaCd2Ag2
_chemical_formula_sum 'La2 Cd4 Ag4'
_symmetry_space_group_name_H-M 'P 1'
_symmetry_Int_Tables_number 1
_cell_length_a 8.481
_cell_length_b 8.481
_cell_length_c 3.189
_cell_angle_alpha 90.00
_cell_angle_beta 90.00
_cell_angle_gamma 90.00
loop_
_symmetry_equiv_pos_as_xyz
'x,y,z'
loop_
_atom_site_label
_atom_site_type_symbol
_atom_site_fract_x
_atom_site_fract_y
_atom_site_fract_z
La1 La 0.000 0.000 0.000
La2 La 0.500 0.500 0.000
Cd1 Cd 0.171 0.329 0.500
Cd2 Cd 0.329 0.829 0.500
Cd3 Cd 0.671 0.171 0.500
Cd4 Cd 0.829 0.671 0.500
Ag1 Ag 0.123 0.623 0.000
Ag2 Ag 0.377 0.123 0.000
Ag3 Ag 0.623 0.877 0.000
Ag4 Ag 0.877 0.377 0.000

=====

No. 3
# PuUCl6, optimized geometry, DFT PBE
# Fermi-level density of states, states/eV/f.u.: 19.950
# Mass density, g/cm3: 4.4
# Symmetry: R-3
# E above lowest polymorph, kJ/mol of formula units: 0
# Magnetic moment, μB per formula unit: 8.000
# Calculated total energy, eV/atom: -6.39
data_PuUCl6
_chemical_formula_sum 'Pu1 U1 Cl6'
_symmetry_space_group_name_H-M 'P 1'
_symmetry_Int_Tables_number 1
_cell_length_a 7.515
_cell_length_b 7.515
_cell_length_c 7.515
_cell_angle_alpha 54.49
_cell_angle_beta 54.49
_cell_angle_gamma 54.49
loop_
_symmetry_equiv_pos_as_xyz
'x,y,z'
loop_
_atom_site_label
_atom_site_type_symbol
_atom_site_fract_x
_atom_site_fract_y
_atom_site_fract_z
Pu1 Pu 0.000 0.000 0.000
U1 U 0.500 0.500 0.500
Cl1 Cl 0.107 0.746 0.401
Cl2 Cl 0.254 0.599 0.893
Cl3 Cl 0.401 0.107 0.746
Cl4 Cl 0.599 0.893 0.254
Cl5 Cl 0.746 0.401 0.107
Cl6 Cl 0.893 0.254 0.599

=====

No. 4
# PrHN3, optimized geometry, DFT PBE
# Fermi-level density of states, states/eV/f.u.: 1.877
# Mass density, g/cm3: 4.0
# Symmetry: C2/m
# Magnetic moment, μB per formula unit: 0.209
# Calculated total energy, eV/atom: -7.04
data_PrHN3
_chemical_formula_sum 'Pr2 H2 N6'
_symmetry_space_group_name_H-M 'P 1'
_symmetry_Int_Tables_number 1
_cell_length_a 5.845
_cell_length_b 5.845
_cell_length_c 8.409
_cell_angle_alpha 116.15
_cell_angle_beta 116.15
_cell_angle_gamma 36.86
loop_
_symmetry_equiv_pos_as_xyz
'x,y,z'
loop_
_atom_site_label
_atom_site_type_symbol
_atom_site_fract_x
_atom_site_fract_y
_atom_site_fract_z
Pr1 Pr 0.118 0.118 0.310
Pr2 Pr 0.882 0.882 0.690
H1 H 0.407 0.407 0.422
H2 H 0.593 0.593 0.578
N1 N 0.347 0.347 0.921
N2 N 0.357 0.357 0.499
N3 N 0.402 0.402 0.079
N4 N 0.598 0.598 0.921
N5 N 0.643 0.643 0.501
N6 N 0.653 0.653 0.079

=====

No. 5
# YEr2Ag, optimized geometry, DFT PBE
# Fermi-level density of states, states/eV/f.u.: 4.551
# Mass density, g/cm3: 8.0
# Energy of formation from the pure elements, eV/atom: -0.137
# Symmetry: P4/mmm
# E above lowest polymorph, kJ/mol of formula units: 0
# Magnetic moment, μB per formula unit: 0.000
# Calculated total energy, eV/atom: -4.75
data_YEr2Ag
_chemical_formula_sum 'Y1 Er2 Ag1'
_symmetry_space_group_name_H-M 'P 1'
_symmetry_Int_Tables_number 1
_cell_length_a 3.540
_cell_length_b 3.540
_cell_length_c 8.844
_cell_angle_alpha 90.00
_cell_angle_beta 90.00
_cell_angle_gamma 90.00
loop_
_symmetry_equiv_pos_as_xyz
'x,y,z'
loop_
_atom_site_label
_atom_site_type_symbol
_atom_site_fract_x
_atom_site_fract_y
_atom_site_fract_z
Y1 Y 0.000 0.000 0.000
Er1 Er 0.500 0.500 0.288
Er2 Er 0.500 0.500 0.712
Ag1 Ag 0.000 0.000 0.500

=====

No. 6
# ReAgW, optimized geometry, DFT PBE
# Fermi-level density of states, states/eV/f.u.: 4.032
# Mass density, g/cm3: 16.2
# Energy of formation from the pure elements, eV/atom: 0.655
# Symmetry: I4mm
# E above lowest polymorph, kJ/mol of formula units: 57
# Magnetic moment, μB per formula unit: 0.000
# Calculated total energy, eV/atom: -8.76
data_ReAgW
_chemical_formula_sum 'Re1 Ag1 W1'
_symmetry_space_group_name_H-M 'P 1'
_symmetry_Int_Tables_number 1
_cell_length_a 6.509
_cell_length_b 6.509
_cell_length_c 6.509
_cell_angle_alpha 155.04
_cell_angle_beta 155.04
_cell_angle_gamma 35.59
loop_
_symmetry_equiv_pos_as_xyz
'x,y,z'
loop_
_atom_site_label
_atom_site_type_symbol
_atom_site_fract_x
_atom_site_fract_y
_atom_site_fract_z
Re1 Re 0.000 0.000 0.000
Ag1 Ag 0.674 0.674 0.000
W1 W 0.351 0.351 0.000